NbI, optimized geometry, DFT GGA-PBE; N(E_F) = 2.25 states/eV/f.u.; raw total energy = -43.6 eV for the cell shown
1.0
-4.4580 4.4580 4.4580
4.4580 -4.4580 4.4580
4.4580 4.4580 -4.4580
Nb I
4 4
Direct
0.0000 0.0000 0.7944
0.0000 0.7944 0.0000
0.2056 0.2056 0.2056
0.7944 0.0000 0.0000
0.0000 0.0000 0.4056
0.0000 0.4056 0.0000
0.4056 0.0000 0.0000
0.5944 0.5944 0.5944